## DyAg2 (GGA-PBE)

Data for a relaxed structure of DyAg2.

Summary:
Total energy ... -3.75 eV per atom
V ... 21.64 Å³/atom
Formation energy from the elements ... -0.31 eV per atom

a b c (Å): 3.740 3.740 9.281
angles (deg): 90.00 90.00 90.00
Space group I4/mmm (No. 139)
Asymmetric unit:
Dy  0.000  0.000  0.000 [2 per cell]
Ag  0.000  0.000  0.330 [4 per cell]